DFT (PBE+U) results for a relaxed structure of Nb2TlFeO6.

Calculated values
As for the total energy: -7.717 eV per atom. The total magnetic moment comes out at 3.4 μB per formula unit.

Cell: 12.0069 11.8104 6.3118 Å, 90.00 111.85 90.00°
Space group C2/c (No. 15)
Symmetry-distinct sites (fractional):
Nb1 0.2108 0.0955 0.1788 (multiplicity 8)
Tl1 0.0000 0.3628 0.2500 (multiplicity 4)
Fe1 0.0000 0.2539 0.7500 (multiplicity 4)
O1 0.0819 0.1980 0.0706 (multiplicity 8)
O2 0.1417 0.3313 0.7127 (multiplicity 8)
O3 0.2035 0.0035 0.4288 (multiplicity 8)